DFT (GGA-PBE) results for an optimized crystal structure of Si2WBr.

a = 4.923 Å, b = 4.923 Å, c = 2.791 Å
α = 90.00°, β = 90.00°, γ = 90.00°
Space group P4/mmm (No. 123)
Unique sites:
Si: 0.000 0.500 0.000 x2
W: 0.000 0.000 0.500 x1
Br: 0.500 0.500 0.500 x1

The formation energy without anion corrections comes out at 79.6 kJ/mol of atoms. The calculation puts the final energy at -5.543 eV/atom.



DFT (GGA-PBE) results for an optimized crystal structure of Si2WBr.

a = 3.083 Å, b = 4.707 Å, c = 9.607 Å
α = 90.00°, β = 90.00°, γ = 90.00°
Space group Immm (No. 71)
Unique sites:
Si: 0.000 0.000 0.215 x4
W: 0.000 0.500 0.500 x2
Br: 0.000 0.500 0.000 x2

The formation energy without anion corrections comes out at 82.0 kJ/mol of atoms. The calculation puts the final energy at -5.518 eV/atom.